# 1
HoAlPtAu | PBE | relaxed

Lattice parameters (Å, degrees): 6.7147 6.7147 6.7147 90.00 90.00 90.00
Last column: nearest neighbours and their distance in Å.
Fractional coordinates of all 16 atoms:
1 Ho 0.0000 0.0000 0.0000  4 Pt 2.91, 4 Au 2.91
2 Ho 0.0000 0.5000 0.5000  4 Pt 2.91, 4 Au 2.91
3 Ho 0.5000 0.0000 0.5000  4 Pt 2.91, 4 Au 2.91
4 Ho 0.5000 0.5000 0.0000  4 Pt 2.91, 4 Au 2.91
5 Al 0.0000 0.0000 0.5000  4 Au 2.91, 4 Pt 2.91
6 Al 0.0000 0.5000 0.0000  4 Au 2.91, 4 Pt 2.91
7 Al 0.5000 0.0000 0.0000  4 Au 2.91, 4 Pt 2.91
8 Al 0.5000 0.5000 0.5000  4 Au 2.91, 4 Pt 2.91
9 Pt 0.2500 0.2500 0.7500  4 Ho 2.91, 4 Al 2.91
10 Pt 0.2500 0.7500 0.2500  4 Ho 2.91, 4 Al 2.91
11 Pt 0.7500 0.2500 0.2500  4 Ho 2.91, 4 Al 2.91
12 Pt 0.7500 0.7500 0.7500  4 Ho 2.91, 4 Al 2.91
13 Au 0.2500 0.2500 0.2500  4 Ho 2.91, 4 Al 2.91
14 Au 0.2500 0.7500 0.7500  4 Ho 2.91, 4 Al 2.91
15 Au 0.7500 0.2500 0.7500  4 Ho 2.91, 4 Al 2.91
16 Au 0.7500 0.7500 0.2500  4 Ho 2.91, 4 Al 2.91

Properties
- SG = F-43m (216)
- E (eV per cell) = -84.229
- energy of formation from the pure elements (meV per atom) = -855
- total magnetization (Bohr magnetons per cell) = 0.00
- crystal system = cubic


# 2
MgNi4W | PBE | relaxed

Lattice parameters (Å, degrees): 4.7429 4.7429 4.7429 60.00 60.00 60.00
Last column: nearest neighbours and their distance in Å.
Fractional coordinates of all 6 atoms:
1 Mg 0.0000 0.0000 0.0000  12 Ni 2.78, 4 W 2.90
2 Ni 0.1258 0.6247 0.6247  6 Ni 2.37-2.38
3 Ni 0.6247 0.1258 0.6247  6 Ni 2.37-2.38
4 Ni 0.6247 0.6247 0.1258  6 Ni 2.37-2.38
5 Ni 0.6247 0.6247 0.6247  6 Ni 2.37-2.38
6 W 0.2500 0.2500 0.2500  12 Ni 2.78, 4 Mg 2.90

Properties
- SG = F-43m (216)
- E (eV per cell) = -37.580
- energy of formation from the pure elements (meV per atom) = 16
- total magnetization (Bohr magnetons per cell) = 0.00
- crystal system = cubic


# 3
TiSb2Rh | PBE | relaxed

Lattice parameters (Å, degrees): 3.1760 3.1760 28.3573 90.00 90.00 120.00
Last column: nearest neighbours and their distance in Å.
Fractional coordinates of all 12 atoms:
1 Ti 0.0000 0.0000 0.0000  6 Sb 2.85, 6 Ti 3.18
2 Ti 0.3333 0.6667 0.6667  6 Sb 2.85, 6 Ti 3.18
3 Ti 0.6667 0.3333 0.3333  6 Sb 2.85, 6 Ti 3.18
4 Sb 0.0000 0.0000 0.4103  1 Rh 2.54
5 Sb 0.0000 0.0000 0.5897  1 Rh 2.54
6 Sb 0.3333 0.6667 0.0770  1 Rh 2.54
7 Sb 0.3333 0.6667 0.2564  1 Rh 2.54
8 Sb 0.6667 0.3333 0.7436  1 Rh 2.54
9 Sb 0.6667 0.3333 0.9230  1 Rh 2.54
10 Rh 0.0000 0.0000 0.5000  2 Sb 2.54
11 Rh 0.3333 0.6667 0.1667  2 Sb 2.54
12 Rh 0.6667 0.3333 0.8333  2 Sb 2.54

Properties
- SG = R-3m (166)
- E (eV per cell) = -70.291
- total magnetization (Bohr magnetons per cell) = 0.00
- crystal system = trigonal
- raw formation energy (eV per atom) = 0.02


Look up the E of the first one. -84.229 eV per cell